DFT (PBE) results for a geometry-optimized PmHfW structure.

Structure (POSCAR):
```
PmHfW
1.0
0.000 3.350 3.350
3.350 0.000 3.350
3.350 3.350 0.000
Hf Pm W
1 1 1
Direct
0.250 0.250 0.250
0.750 0.750 0.750
0.000 0.000 0.000
```

Output
Total magnetic moment   0.01 μB per formula unit
Formation enthalpy at 0 K   760 meV/atom
E_tot   -8.4598 eV/atom

=====

DFT (PBE) results for a geometry-optimized PmHfZn structure.

Structure (POSCAR):
```
PmHfZn
1.0
2.762 -3.823 0.719
-1.213 -3.234 3.291
-1.511 -4.321 -1.345
Hf Pm Zn
1 1 1
Direct
0.250 0.250 0.250
0.750 0.750 0.750
0.000 0.000 0.000
```

Output
Total magnetic moment   0.60 μB per formula unit
Energy above the most stable polymorph in this dataset   0 meV per atom
Formation enthalpy at 0 K   306 meV/atom
E_tot   -5.0154 eV/atom

=====

DFT (PBE) results for a geometry-optimized PmHfZn structure.

Structure (POSCAR):
```
PmHfZn
1.0
4.544 1.481 1.014
1.195 1.270 4.564
2.969 -2.852 2.632
Hf Pm Zn
1 1 1
Direct
0.250 0.250 0.250
0.000 0.000 0.000
0.750 0.750 0.750
```

Output
Total magnetic moment   0.78 μB per formula unit
Energy above the most stable polymorph in this dataset   669 meV per atom
Formation enthalpy at 0 K   976 meV/atom
E_tot   -4.3460 eV/atom

=====

DFT (PBE) results for a geometry-optimized PrHf structure.

Structure (POSCAR):
```
PrHf
1.0
0.000 3.109 3.109
3.109 0.000 3.109
3.109 3.109 0.000
Hf Pr
1 1
Direct
0.000 0.000 0.000
0.500 0.500 0.500
```

Output
Total magnetic moment   0.25 μB per formula unit
Energy above the most stable polymorph in this dataset   770 meV per atom
Formation enthalpy at 0 K   1085 meV/atom
E_tot   -6.2798 eV/atom

=====

Q: What is the formula in the first record?
A: PmHfW